Compound: Sm4Hg5Rh2
Source: Alexandria
Functional: PBE-GGA
Structure: relaxed

Unit cell a=7.7764 b=3.7028 c=9.5868 alpha=90.00 beta=94.47 gamma=90.00
With the nearest neighbours (Å) after each atom.
Space group P2/m (No. 10)
Asymmetric unit:
Sm (0.1813, 0.0000, 0.3489) (multiplicity 2)  2 Rh 2.80
Sm (0.2206, 0.0000, 0.9385) (multiplicity 2)  4 Rh 2.96-3.02
Hg (0.1689, 0.5000, 0.6446) (multiplicity 2)  1 Rh 2.92, 1 Hg 3.02
Hg (0.4546, 0.5000, 0.1694) (multiplicity 2)  1 Rh 2.93, 1 Hg 3.16
Hg (0.5000, 0.5000, 0.5000) (multiplicity 1)  4 Hg 3.02-3.16, 4 Sm 3.33
Rh (0.0773, 0.5000, 0.1406) (multiplicity 2)  6 Sm 2.80-3.02, 1 Rh 2.86, 2 Hg 2.92-2.93

Properties
magnetization = 0.000 μB per formula unit
energy = -3.751 eV/atom
formation energy = -0.56 eV/atom
D(E_F) = 5.615 states/eV/cell

***

Compound: NbVTe2N
Source: Alexandria
Functional: PBE-GGA
Structure: relaxed

Unit cell a=5.3529 b=5.3529 c=3.6062 alpha=90.00 beta=90.00 gamma=90.00
With the nearest neighbours (Å) after each atom.
Space group P4/mmm (No. 123)
Asymmetric unit:
Nb (0.0000, 0.0000, 0.0000) (multiplicity 1)  8 Te 3.23, 2 Nb 3.61
V (0.5000, 0.5000, 0.5000) (multiplicity 1)  2 N 1.80
Te (0.0000, 0.5000, 0.5000) (multiplicity 2)  2 V 2.68
N (0.5000, 0.5000, 0.0000) (multiplicity 1)  2 V 1.80

Properties
magnetization = 2.539 μB per formula unit
raw formation energy = 0.3183 eV/atom
energy = -6.441 eV/atom
offset from the most stable computed form = 0 meV/atom
D(E_F) = 5.149 states/eV/cell

***

Compound: Sc2Cu2S
Source: Alexandria
Functional: PBE-GGA
Structure: relaxed

Unit cell a=6.8747 b=6.8747 c=3.9247 alpha=90.00 beta=90.00 gamma=90.00
With the nearest neighbours (Å) after each atom.
Space group P4/mbm (No. 127)
Asymmetric unit:
Sc (0.1744, 0.3256, 0.0000) (multiplicity 4)  2 S 2.54, 2 Cu 2.79
Cu (0.1217, 0.6217, 0.5000) (multiplicity 4)  1 Cu 2.37
S (0.0000, 0.0000, 0.0000) (multiplicity 2)  4 Sc 2.54

Properties
magnetization = 0.000 μB per formula unit
raw formation energy = -0.5072 eV/atom
energy = -5.504 eV/atom
D(E_F) = 6.839 states/eV/cell

***

Compound: LaAsC3
Source: Alexandria
Functional: PBE-GGA
Structure: relaxed

Unit cell a=4.4885 b=4.4885 c=4.4885 alpha=90.00 beta=90.00 gamma=90.00
With the nearest neighbours (Å) after each atom.
Space group Pm-3m (No. 221)
Asymmetric unit:
La (0.0000, 0.0000, 0.0000) (multiplicity 1)  6 C 2.24
As (0.5000, 0.5000, 0.5000) (multiplicity 1)  12 C 3.17
C (0.0000, 0.0000, 0.5000) (multiplicity 3)  2 La 2.24

Properties
magnetization = 0.000 μB per formula unit
energy = -4.494 eV/atom
offset from the most stable computed form = 1526 meV/atom
formation energy = 2.96 eV/atom
D(E_F) = 3.784 states/eV/cell

***

Compound: CaCu2SiH
Source: Alexandria
Functional: PBE-GGA
Structure: relaxed

Unit cell a=3.9532 b=10.5947 c=6.6875 alpha=90.00 beta=90.00 gamma=90.00
With the nearest neighbours (Å) after each atom.
Space group Cmcm (No. 63)
Asymmetric unit:
Ca (0.0000, 0.0608, 0.2500) (multiplicity 4)  4 H 2.67
Cu (0.0000, 0.3356, 0.0611) (multiplicity 8)  1 H 1.79
Si (0.0000, 0.2213, 0.7500) (multiplicity 4)  6 Cu 2.41-2.42
H (0.0000, 0.5000, 0.0000) (multiplicity 4)  2 Cu 1.79

Properties
magnetization = 0.000 μB per formula unit
energy = -4.148 eV/atom
offset from the most stable computed form = 0 meV/atom
D(E_F) = 5.510 states/eV/cell

***

Compound: GaFeSiHN
Source: Alexandria
Functional: PBE-GGA
Structure: relaxed

Unit cell a=2.8734 b=4.5216 c=4.6156 alpha=69.37 beta=71.88 gamma=72.86
With the nearest neighbours (Å) after each atom.
Space group P1 (No. 1)
Asymmetric unit:
Ga (0.0000, 0.0000, 0.0000) (multiplicity 1)  1 N 2.00
Fe (0.7592, 0.8073, 0.6361) (multiplicity 1)  1 N 2.07
Si (0.5151, 0.4601, 0.4653) (multiplicity 1)  1 N 1.82
H (0.3385, 0.4098, 0.0526) (multiplicity 1)  1 N 1.03
N (0.6787, 0.4391, 0.0587) (multiplicity 1)  1 H 1.03

Properties
magnetization = 0.534 μB per formula unit
energy = -5.680 eV/atom
offset from the most stable computed form = 294 meV/atom
D(E_F) = 1.590 states/eV/cell

***

Compound: KMgAs2
Source: Alexandria
Functional: PBE-GGA
Structure: relaxed

Unit cell a=3.6262 b=4.3931 c=13.9387 alpha=90.00 beta=90.00 gamma=90.00
With the nearest neighbours (Å) after each atom.
Space group Imm2 (No. 44)
Asymmetric unit:
K (0.0000, 0.0000, 0.0000) (multiplicity 2)  6 As 3.42-3.57, 2 K 3.63
Mg (0.0000, 0.5000, 0.7520) (multiplicity 2)  6 As 2.73-2.87
As (0.0000, 0.0000, 0.6353) (multiplicity 2)  2 As 2.71, 2 Mg 2.73
As (0.0000, 0.5000, 0.2793) (multiplicity 2)  2 As 2.71, 4 Mg 2.87

Properties
magnetization = 0.000 μB per formula unit
energy = -3.247 eV/atom
formation energy = -0.25 eV/atom
D(E_F) = 4.544 states/eV/cell

***

Compound: CeInAgHg
Source: Alexandria
Functional: PBE-GGA
Structure: relaxed

Unit cell a=7.2695 b=7.2695 c=7.2695 alpha=90.00 beta=90.00 gamma=90.00
With the nearest neighbours (Å) after each atom.
Space group F-43m (No. 216)
Asymmetric unit:
Ce (0.0000, 0.0000, 0.0000) (multiplicity 4)  4 Hg 3.15, 4 Ag 3.15
In (0.0000, 0.0000, 0.5000) (multiplicity 4)  4 Ag 3.15, 4 Hg 3.15
Ag (0.2500, 0.2500, 0.2500) (multiplicity 4)  4 In 3.15, 4 Ce 3.15
Hg (0.2500, 0.2500, 0.7500) (multiplicity 4)  4 In 3.15, 4 Ce 3.15

Properties
magnetization = 0.860 μB per formula unit
energy = -3.266 eV/atom
formation energy = -0.31 eV/atom
D(E_F) = 29.034 states/eV/cell

***

Compound: YTa2Se
Source: Alexandria
Functional: PBE-GGA
Structure: relaxed

Unit cell a=3.9595 b=3.9595 c=22.2015 alpha=90.00 beta=90.00 gamma=90.00
With the nearest neighbours (Å) after each atom.
Space group I-42d (No. 122)
Asymmetric unit:
Y (0.0000, 0.0000, 0.0000) (multiplicity 4)  4 Se 2.80, 4 Ta 3.11
Ta (0.2492, 0.7500, 0.6250) (multiplicity 8)  4 Ta 2.80, 2 Se 3.11, 2 Y 3.11
Se (0.0000, 0.0000, 0.5000) (multiplicity 4)  4 Y 2.80, 4 Ta 3.11

Properties
magnetization = 0.000 μB per formula unit
raw formation energy = 0.1233 eV/atom
energy = -8.290 eV/atom
D(E_F) = 22.686 states/eV/cell

***

Compound: CsMg2Si2
Source: Alexandria
Functional: PBE-GGA
Structure: relaxed

Unit cell a=8.8280 b=8.8280 c=3.0925 alpha=90.00 beta=90.00 gamma=90.00
With the nearest neighbours (Å) after each atom.
Space group P4/mbm (No. 127)
Asymmetric unit:
Cs (0.0000, 0.0000, 0.0000) (multiplicity 2)  2 Cs 3.09
Mg (0.1273, 0.3727, 0.0000) (multiplicity 4)  6 Si 2.91-3.16, 3 Mg 3.09-3.18
Si (0.1515, 0.6515, 0.5000) (multiplicity 4)  6 Mg 2.91-3.16, 2 Si 3.09

Properties
magnetization = 0.000 μB per formula unit
raw formation energy = 0.2254 eV/atom
energy = -2.752 eV/atom
offset from the most stable computed form = 187 meV/atom
D(E_F) = 3.561 states/eV/cell

***

Compound: CaLa2Al
Source: Alexandria
Functional: PBE-GGA
Structure: relaxed

Unit cell a=9.1827 b=9.1827 c=6.5507 alpha=90.00 beta=90.00 gamma=90.00
With the nearest neighbours (Å) after each atom.
Space group I-42d (No. 122)
Asymmetric unit:
Ca (0.0000, 0.0000, 0.0000) (multiplicity 4)  2 Al 3.28, 4 La 3.63
La (0.2068, 0.7500, 0.6250) (multiplicity 8)  2 Al 3.09, 2 La 3.37
Al (0.0000, 0.0000, 0.5000) (multiplicity 4)  4 La 3.09, 2 Ca 3.28

Properties
magnetization = 0.000 μB per formula unit
energy = -3.778 eV/atom
formation energy = 0.12 eV/atom
D(E_F) = 14.844 states/eV/cell

***

Compound: RbNbSb2O8
Source: Alexandria
Functional: PBE-GGA
Structure: relaxed

Unit cell a=5.0327 b=5.0396 c=6.6190 alpha=89.82 beta=89.82 gamma=85.57
With the nearest neighbours (Å) after each atom.
Space group P-1 (No. 2)
Asymmetric unit:
Rb (0.0000, 0.0000, 0.0000) (multiplicity 1)  6 O 2.48
Nb (0.0000, 0.0000, 0.5000) (multiplicity 1)  4 O 1.96
Sb (0.4998, 0.4998, 0.2508) (multiplicity 2)  6 O 1.99-2.19
O (0.2138, 0.7854, 0.6974) (multiplicity 2)  1 Nb 1.96, 1 Sb 1.99
O (0.2155, 0.7871, 0.3026) (multiplicity 2)  1 Nb 1.96, 1 Sb 1.99
O (0.3049, 0.3060, 0.4999) (multiplicity 2)  2 Sb 2.18-2.19, 1 Nb 2.26
O (0.3348, 0.3373, 0.0008) (multiplicity 2)  2 Sb 2.05-2.06

Properties
magnetization = 0.000 μB per formula unit
raw formation energy = -1.5161 eV/atom
energy = -6.428 eV/atom